A plane-wave DFT calculation with PBE was carried out for a geometry-optimized LiBeV structure.

extended XYZ file:
```
6
Lattice="2.3412 0.0000 0.0000 0.0000 4.2117 0.0000 -0.3856 0.0000 7.2487" Properties=species:S:1:pos:R:3 pbc="T T T"
Li 0.3185 1.0529 0.4520
Li 1.6371 3.1588 6.7967
Be 0.9507 3.1588 2.0143
Be 1.0049 1.0529 5.2344
V 0.0652 3.1588 4.2951
V 1.8904 1.0529 2.9535
```

Computed properties:
Energy in eV/atom: -4.78
Formation energy from the elements in eV/atom: 0.14
SG: No. 11
Energy relative to the lowest polymorph listed for this composition in meV per atom: 0
Spin magnetization in μB/f.u.: 0.00

A plane-wave DFT calculation with PBE was carried out for a geometry-optimized Sr2TiV structure.

extended XYZ file:
```
8
Lattice="-4.4216 4.4216 3.2174 4.4216 -4.4216 3.2174 4.4216 4.4216 -3.2174" Properties=species:S:1:pos:R:3 pbc="T T T"
Sr 6.6324 2.0817 -0.8043
Sr 2.0817 2.2108 0.8043
Sr -2.2108 2.3399 2.4130
Sr 2.3399 2.2108 4.0217
Ti 4.4216 0.0000 1.6087
Ti 0.0000 0.0000 3.2174
V 0.0000 0.0000 0.0000
V 0.0000 4.4216 1.6087
```

Computed properties:
Energy in eV/atom: -3.89
Formation energy from the elements in eV/atom: 1.20
SG: No. 122
Energy relative to the lowest polymorph listed for this composition in meV per atom: 183
Spin magnetization in μB/f.u.: 5.27

A plane-wave DFT calculation with PBE was carried out for a geometry-optimized Lu5Ti3H12 structure.

extended XYZ file:
```
80
Lattice="-6.0210 6.0210 6.0210 6.0210 -6.0210 6.0210 6.0210 6.0210 -6.0210" Properties=species:S:1:pos:R:3 pbc="T T T"
Lu 0.0000 0.0000 0.0000
Lu 3.0105 3.0105 -3.0105
Lu 3.0105 -3.0105 3.0105
Lu 6.0210 0.0000 0.0000
Lu 9.0315 1.5052 0.0000
Lu 6.0210 -3.0105 4.5157
Lu 4.5157 6.0210 -3.0105
Lu 4.5157 0.0000 3.0105
Lu 3.0105 4.5157 0.0000
Lu 6.0210 3.0105 1.5052
Lu -3.0105 3.0105 3.0105
Lu 0.0000 6.0210 0.0000
Lu 0.0000 0.0000 6.0210
Lu 3.0105 3.0105 3.0105
Lu 0.0000 3.0105 4.5157
Lu 3.0105 1.5052 6.0210
Lu 1.5052 6.0210 3.0105
Lu 1.5052 0.0000 9.0315
Lu 0.0000 9.0315 1.5052
Lu -3.0105 4.5157 6.0210
Ti 3.0105 1.5052 0.0000
Ti 6.0210 3.0105 -1.5052
Ti 1.5052 0.0000 3.0105
Ti 7.5262 0.0000 3.0105
Ti 0.0000 3.0105 1.5052
Ti 3.0105 -1.5052 6.0210
Ti 3.0105 7.5262 0.0000
Ti 6.0210 3.0105 4.5157
Ti -1.5052 6.0210 3.0105
Ti 4.5157 6.0210 3.0105
Ti 0.0000 3.0105 7.5262
Ti 3.0105 4.5157 6.0210
H 7.9645 -0.0960 0.8097
H 7.0880 -2.2008 2.9145
H 1.9435 0.0960 0.8097
H 7.0880 3.8202 -2.9145
H 6.1170 -0.8097 1.9435
H 8.9354 -1.0670 2.2008
H 3.8202 2.9145 -1.0670
H 5.2113 1.9435 -0.0960
H 0.8097 1.9435 0.0960
H 8.2218 3.1065 -1.0670
H 0.0960 0.8097 1.9435
H 2.9145 -1.0670 3.8202
H 6.1170 5.2113 -1.9435
H 2.9145 1.0670 2.2008
H 2.2008 2.9145 1.0670
H 6.8307 4.0775 -0.0960
H 3.8202 -2.9145 7.0880
H 5.2113 -1.9435 6.1170
H 2.9145 7.0880 -2.2008
H 6.1170 0.8097 4.0775
H 1.0670 2.2008 2.9145
H 1.9435 -0.0960 5.2113
H 1.9435 6.1170 -0.8097
H 7.0880 2.2008 3.1065
H -1.0670 3.8202 2.9145
H 4.0775 -0.0960 6.8307
H 4.0775 6.1170 0.8097
H 4.9540 3.8202 3.1065
H -0.0960 5.2113 1.9435
H 3.1065 -1.0670 8.2218
H 0.8097 7.9645 -0.0960
H 2.2008 8.9354 -1.0670
H -0.8097 1.9435 6.1170
H 3.8202 3.1065 4.9540
H 3.1065 4.9540 3.8202
H -0.0960 0.8097 7.9645
H 3.1065 7.0880 2.2008
H 5.9249 5.2113 4.0775
H -2.2008 2.9145 7.0880
H 5.2113 4.0775 5.9249
H 0.8097 4.0775 6.1170
H 2.2008 3.1065 7.0880
H -2.9145 7.0880 3.8202
H -0.0960 6.8307 4.0775
H -1.0670 2.2008 8.9354
H 4.0775 5.9249 5.2113
H -1.0670 8.2218 3.1065
H -1.9435 6.1170 5.2113
```

Computed properties:
Energy in eV/atom: -4.66
SG: No. 230
Spin magnetization in μB/f.u.: 0.00

A plane-wave DFT calculation with PBE was carried out for a geometry-optimized Y2HoHfN4 structure.

extended XYZ file:
```
8
Lattice="5.8720 0.0000 0.0000 0.0000 3.3821 0.0000 -1.9337 0.0000 5.5509" Properties=species:S:1:pos:R:3 pbc="T T T"
Y 0.0000 0.0000 0.0000
Y 2.9360 1.6911 0.0000
Ho -0.9669 1.6911 2.7754
Hf 1.9691 0.0000 2.7754
N 0.0958 0.0000 4.0941
N 1.0496 1.6911 1.4922
N 2.8887 1.6911 4.0587
N 3.8425 0.0000 1.4568
```

Computed properties:
Energy in eV/atom: -9.35
SG: No. 10
Spin magnetization in μB/f.u.: 0.00